1.
# Y3Ni (PBE, relaxed)
data_Y3Ni
_chemical_formula_sum 'Y6 Ni2'
_space_group_name_H-M_alt 'P m m n'
_space_group_IT_number 59
_cell_length_a 3.669
_cell_length_b 6.784
_cell_length_c 8.932
_cell_angle_alpha 90.00
_cell_angle_beta 90.00
_cell_angle_gamma 90.00
loop_
_space_group_symop_operation_xyz
'x,y,z'
'-x,-y,-z'
'-x+1/2,-y+1/2,z'
'x+1/2,y+1/2,-z'
'x+1/2,-y,-z'
'-x+1/2,y,z'
'-x,y+1/2,-z'
'x,-y+1/2,z'
loop_
_atom_site_label
_atom_site_type_symbol
_atom_site_fract_x
_atom_site_fract_y
_atom_site_fract_z
Y1 Y 0.250 0.004 0.171
Y2 Y 0.250 0.250 0.537
Ni1 Ni 0.250 0.750 0.690
# Formation energy from the elements, eV per atom: -0.1075
# Uncorrected energy, eV/atom: -6.401

***

2.
# HoCuTe3 (PBE, relaxed)
data_HoCuTe3
_chemical_formula_sum 'Ho4 Cu4 Te12'
_space_group_name_H-M_alt 'P 1 21/c 1'
_space_group_IT_number 14
_space_group_name_Hall '-P 2ybc'
_cell_length_a 10.620
_cell_length_b 6.248
_cell_length_c 9.178
_cell_angle_alpha 90.00
_cell_angle_beta 103.88
_cell_angle_gamma 90.00
loop_
_atom_site_label
_atom_site_type_symbol
_atom_site_fract_x
_atom_site_fract_y
_atom_site_fract_z
Ho1 Ho 0.126 0.225 0.176
Cu1 Cu 0.459 0.719 0.575
Te1 Te 0.073 0.728 0.131
Te2 Te 0.305 0.094 0.966
Te3 Te 0.414 0.561 0.824
# Raw formation energy, eV/atom: -0.580
# Uncorrected energy, eV/atom: -4.200

***

3.
# Li2TlP (PBE, relaxed)
data_Li2TlP
_chemical_formula_sum 'Li4 Tl2 P2'
_space_group_name_H-M_alt 'I m m 2'
_space_group_IT_number 44
_space_group_name_Hall 'I 2 -2'
_cell_length_a 4.024
_cell_length_b 4.142
_cell_length_c 8.827
_cell_angle_alpha 90.00
_cell_angle_beta 90.00
_cell_angle_gamma 90.00
loop_
_atom_site_label
_atom_site_type_symbol
_atom_site_fract_x
_atom_site_fract_y
_atom_site_fract_z
Li1 Li 0.000 0.000 0.000
Li2 Li 0.000 0.500 0.227
Tl1 Tl 0.000 0.000 0.468
P1 P 0.000 0.500 0.707
# Formation energy from the elements, eV per atom: -0.2153
# Uncorrected energy, eV/atom: -3.116
# Polymorph energy (0 for the lowest one), eV per formula unit: 0.477

***

4.
# Cr2OsPb (PBE, relaxed)
data_Cr2OsPb
_chemical_formula_sum 'Cr4 Os2 Pb2'
_space_group_name_H-M_alt 'C m m m'
_space_group_IT_number 65
_space_group_name_Hall '-C 2 2'
_cell_length_a 5.759
_cell_length_b 7.460
_cell_length_c 2.974
_cell_angle_alpha 90.00
_cell_angle_beta 90.00
_cell_angle_gamma 90.00
loop_
_atom_site_label
_atom_site_type_symbol
_atom_site_fract_x
_atom_site_fract_y
_atom_site_fract_z
Cr1 Cr 0.250 0.250 0.000
Os1 Os 0.000 0.000 0.500
Pb1 Pb 0.000 0.500 0.500
# Formation energy from the elements, eV per atom: 0.7099
# Uncorrected energy, eV/atom: -7.836

***

The highest uncorrected energy belongs to which entry?
Li2TlP

***

Copy entry 4 word for word.
# Cr2OsPb (PBE, relaxed)
data_Cr2OsPb
_chemical_formula_sum 'Cr4 Os2 Pb2'
_space_group_name_H-M_alt 'C m m m'
_space_group_IT_number 65
_space_group_name_Hall '-C 2 2'
_cell_length_a 5.759
_cell_length_b 7.460
_cell_length_c 2.974
_cell_angle_alpha 90.00
_cell_angle_beta 90.00
_cell_angle_gamma 90.00
loop_
_atom_site_label
_atom_site_type_symbol
_atom_site_fract_x
_atom_site_fract_y
_atom_site_fract_z
Cr1 Cr 0.250 0.250 0.000
Os1 Os 0.000 0.000 0.500
Pb1 Pb 0.000 0.500 0.500
# Formation energy from the elements, eV per atom: 0.7099
# Uncorrected energy, eV/atom: -7.836

***

Look up the uncorrected energy of the second one.
-4.200 eV/atom